Entry 1:
A plane-wave DFT calculation with PBE was carried out for a geometry-optimized BaSr2VBr8 structure.

Unit cell a=6.845 b=9.183 c=7.016 alpha=90.00 beta=90.24 gamma=90.00
Fractional positions:
Ba 0.000 0.000 0.000
Sr 0.500 0.267 0.500
Sr 0.500 0.733 0.500
V 0.000 0.500 0.000
Br 0.223 0.291 0.153
Br 0.223 0.709 0.153
Br 0.239 0.500 0.689
Br 0.268 0.000 0.630
Br 0.732 0.000 0.370
Br 0.761 0.500 0.311
Br 0.777 0.291 0.847
Br 0.777 0.709 0.847

Values from the calculation:
Formation energy (no corrections) ... -1.74 eV/atom
SG ... P2/m (10)



Entry 2:
A plane-wave DFT calculation with PBE was carried out for a geometry-optimized Mg6TlSn2 structure.

Unit cell a=7.442 b=7.582 c=9.336 alpha=90.00 beta=117.58 gamma=90.00
Fractional positions:
Mg 0.061 0.012 0.204
Mg 0.061 0.488 0.704
Mg 0.160 0.689 0.051
Mg 0.160 0.811 0.551
Mg 0.374 0.078 0.085
Mg 0.374 0.422 0.585
Mg 0.626 0.578 0.415
Mg 0.626 0.922 0.915
Mg 0.840 0.189 0.449
Mg 0.840 0.311 0.949
Mg 0.939 0.512 0.296
Mg 0.939 0.988 0.796
Tl 0.500 0.000 0.500
Tl 0.500 0.500 0.000
Sn 0.264 0.138 0.743
Sn 0.264 0.362 0.243
Sn 0.736 0.638 0.757
Sn 0.736 0.862 0.257

Values from the calculation:
Formation enthalpy at 0 K ... -0.03 eV/atom
SG ... P2_1/c (14)



Entry 3:
A plane-wave DFT calculation with PBE was carried out for a geometry-optimized Sr2ScInOs structure.

Unit cell a=5.710 b=5.710 c=5.255 alpha=90.00 beta=90.00 gamma=90.00
Fractional positions:
Sr 0.000 0.500 0.000
Sr 0.500 0.000 0.000
Sc 0.000 0.000 0.500
In 0.500 0.500 0.500
Os 0.500 0.500 0.000

Values from the calculation:
Formation enthalpy at 0 K ... 0.61 eV/atom
SG ... P4/mmm (123)



| no. | spin magnetization (μB/atom) | E_tot (eV per formula unit) |
| --- | --- | --- |
| 1 | 0.25 | -48.708 |
| 2 | 0.00 | -20.217 |
| 3 | 0.00 | -20.599 |